1.
## BaTaCo2 (GGA-PBEsol)

Data for a relaxed BaTaCo2 crystal.

Cell lengths 3.2016, 3.2016, 7.5537 Å; angles 90.00, 90.00, 90.00 degrees
Last column: nearest neighbours and their distance in Å.
Fractional positions:
Co  0.0000  0.0000  0.9145  1 Ta 2.26
Ba  0.5000  0.5000  0.2192  4 Ba 3.20, 5 Co 3.23-3.54
Co  0.5000  0.5000  0.7510  4 Ta 2.49, 4 Co 2.58
Ta  0.0000  0.0000  0.6153  5 Co 2.26-2.49

Computed properties:
- DOS at the Fermi energy (states/eV per cell) = 5.21
- excess energy over the best structure of this formula in the dataset (meV/atom) = 164
- crystal system = tetragonal
- total DFT energy (no corrections) (eV per atom) = -6.98
- mass density (Mg/m³) = 9.4
- SG = P4mm (99)
- energy of formation (meV per atom) = 565

---

2.
## CsB2P2HO9 (GGA-PBEsol)

Data for a relaxed CsB2P2HO9 crystal.

Cell lengths 6.8538, 8.9845, 12.3607 Å; angles 90.00, 90.00, 98.08 degrees
Last column: nearest neighbours and their distance in Å.
Fractional positions:
O  0.4051  0.4000  0.3654  1 B 1.49, 1 P 1.55
O  0.6934  0.8435  0.5363  1 H 1.12
P  0.2872  0.3253  0.4624  4 O 1.54-1.55
H  0.7820  0.4117  0.0268  1 O 1.12
O  0.3464  0.4852  0.7497  1 B 1.49, 1 P 1.56
B  0.0683  0.6403  0.6405  4 O 1.42-1.50
O  0.6536  0.0148  0.2497  1 B 1.49, 1 P 1.56
H  0.2180  0.5883  0.9732  1 O 1.12
O  0.3700  0.3889  0.5713  1 B 1.51, 1 P 1.54
B  0.3834  0.5329  0.6354  4 O 1.41-1.51
O  0.6300  0.6111  0.4287  1 B 1.51, 1 P 1.54
O  0.9291  0.6479  0.5490  1 B 1.49, 1 P 1.54
O  0.0611  0.2709  0.7847  1 B 1.50, 1 P 1.55
P  0.1314  0.9421  0.7077  4 O 1.51-1.57
O  0.6300  0.1111  0.0713  1 B 1.51, 1 P 1.54
O  0.9936  0.5072  0.7089  1 B 1.50, 1 P 1.57
P  0.1314  0.4421  0.7923  4 O 1.51-1.57
O  0.0064  0.4928  0.2911  1 B 1.50, 1 P 1.57
O  0.0611  0.7709  0.7153  1 B 1.50, 1 P 1.55
B  0.0683  0.1403  0.8595  4 O 1.42-1.50
O  0.5949  0.1000  0.8654  1 B 1.49, 1 P 1.55
O  0.7419  0.3667  0.4030  2 B 1.41-1.42
H  0.2180  0.0883  0.5268  1 O 1.12
Cs  0.7217  0.6860  0.8819  12 O 3.11-3.41, 1 H 3.12
O  0.3700  0.8889  0.9287  1 B 1.51, 1 P 1.54
B  0.9317  0.3597  0.3595  4 O 1.42-1.50
O  0.5949  0.6000  0.6346  1 B 1.49, 1 P 1.55
O  0.0709  0.8521  0.0490  1 B 1.49, 1 P 1.54
O  0.2581  0.6333  0.5970  2 B 1.41-1.42
Cs  0.2783  0.8140  0.3819  12 O 3.11-3.41, 1 H 3.12
O  0.7419  0.8667  0.0970  2 B 1.41-1.42
O  0.3464  0.9852  0.7503  1 B 1.49, 1 P 1.56
P  0.8686  0.5579  0.2077  4 O 1.51-1.57
Cs  0.2783  0.3140  0.1181  12 O 3.11-3.41, 1 H 3.12
O  0.1139  0.4977  0.9063  1 H 1.30
O  0.9291  0.1479  0.9510  1 B 1.49, 1 P 1.54
H  0.7820  0.9117  0.4732  1 O 1.12
B  0.6166  0.9671  0.1354  4 O 1.41-1.51
B  0.6166  0.4671  0.3646  4 O 1.41-1.51
O  0.1139  0.9977  0.5937  1 H 1.30
O  0.6934  0.3435  0.9637  1 H 1.12
P  0.7128  0.6747  0.5376  4 O 1.54-1.55
O  0.9389  0.2291  0.2847  1 B 1.50, 1 P 1.55
O  0.6536  0.5148  0.2503  1 B 1.49, 1 P 1.56
Cs  0.7217  0.1860  0.6181  12 O 3.11-3.41, 1 H 3.12
O  0.8861  0.5023  0.0937  1 H 1.30
O  0.8861  0.0023  0.4063  1 H 1.30
O  0.2581  0.1333  0.9030  2 B 1.41-1.42
B  0.9317  0.8597  0.1405  4 O 1.42-1.50
O  0.3066  0.1565  0.4637  1 H 1.12
P  0.7128  0.1747  0.9624  4 O 1.54-1.55
O  0.4051  0.9000  0.1346  1 B 1.49, 1 P 1.55
B  0.3834  0.0329  0.8646  4 O 1.41-1.51
O  0.0709  0.3521  0.4510  1 B 1.49, 1 P 1.54
O  0.9936  0.0072  0.7911  1 B 1.50, 1 P 1.57
O  0.0064  0.9928  0.2089  1 B 1.50, 1 P 1.57
P  0.8686  0.0579  0.2923  4 O 1.51-1.57
P  0.2872  0.8253  0.0376  4 O 1.54-1.55
O  0.9389  0.7291  0.2153  1 B 1.50, 1 P 1.55
O  0.3066  0.6565  0.0363  1 H 1.12

Computed properties:
- DOS at the Fermi energy (states/eV per cell) = 0.00
- crystal system = monoclinic
- total DFT energy (no corrections) (eV per atom) = -7.39
- mass density (Mg/m³) = 3.2
- SG = P2_1/c (14)

---

3.
## Li4Mn3CoP4O16 (GGA-PBEsol)

Data for a relaxed Li4Mn3CoP4O16 crystal.

Cell lengths 4.7057, 6.0086, 10.3210 Å; angles 90.00, 90.17, 90.00 degrees
Last column: nearest neighbours and their distance in Å.
Fractional positions:
O  0.2613  0.5000  0.1003  1 P 1.53
Li  0.0038  0.7485  0.0053  6 O 2.07-2.20
Li  0.4975  0.2516  0.4958  6 O 2.09-2.17
Li  0.4975  0.7484  0.4958  6 O 2.09-2.17
O  0.2092  0.7939  0.3341  1 P 1.57
Mn  0.9773  0.0000  0.7189  6 O 2.09-2.25
O  0.2818  0.7954  0.8371  1 P 1.57
O  0.2415  0.5000  0.5924  1 P 1.53
Mn  0.4814  0.5000  0.7797  6 O 2.09-2.24
O  0.7900  0.5000  0.4495  1 P 1.55
O  0.2919  0.0000  0.0471  1 P 1.55
O  0.2818  0.2046  0.8371  1 P 1.57
P  0.9163  0.5000  0.5883  4 O 1.53-1.57
Mn  0.5244  0.0000  0.2209  6 O 2.09-2.26
O  0.2092  0.2061  0.3341  1 P 1.57
P  0.0780  0.0000  0.4057  4 O 1.53-1.57
P  0.4170  0.0000  0.9082  4 O 1.53-1.57
Li  0.0038  0.2515  0.0053  6 O 2.07-2.20
P  0.5868  0.5000  0.0969  4 O 1.53-1.57
O  0.2094  0.0000  0.5436  1 P 1.55
O  0.7263  0.2964  0.1672  1 P 1.57
O  0.7810  0.2962  0.6603  1 P 1.57
O  0.7422  0.0000  0.9057  1 P 1.53
O  0.7810  0.7038  0.6603  1 P 1.57
O  0.7523  0.0000  0.4055  1 P 1.53
O  0.7087  0.5000  0.9573  1 P 1.55
Co  0.0223  0.5000  0.2807  6 O 2.05-2.19
O  0.7263  0.7036  0.1672  1 P 1.57

Computed properties:
- DOS at the Fermi energy (states/eV per cell) = 10.58
- crystal system = monoclinic
- total DFT energy (no corrections) (eV per atom) = -7.45
- mass density (Mg/m³) = 3.6
- SG = Pm (6)

---

- What is the mass density in the first record?
  9.4 Mg/m³

---

- What is the total DFT energy (no corrections) in the second record?
  -7.39 eV per atom